(1)
# FePAu2 (GGA-PBE, relaxed)
data_FePAu2
_chemical_formula_sum 'Fe2 P2 Au4'
_cell_length_a 7.4327
_cell_length_b 2.8882
_cell_length_c 6.1584
_cell_angle_alpha 90.00
_cell_angle_beta 94.68
_cell_angle_gamma 90.00
_symmetry_space_group_name_H-M 'C 1 m 1'
_symmetry_Int_Tables_number 8
loop_
_symmetry_equiv_pos_as_xyz
'x,y,z'
'x,-y,z'
'x+1/2,y+1/2,z'
'x+1/2,-y+1/2,z'
loop_
_atom_site_label
_atom_site_type_symbol
_atom_site_fract_x
_atom_site_fract_y
_atom_site_fract_z
Fe1 Fe 0.0000 0.0000 0.0000
P1 P 0.2848 0.0000 0.9346
Au1 Au 0.2174 0.5000 0.3017
Au2 Au 0.4622 0.0000 0.6063
# Calculated volume: 16.470 A^3/atom
# Raw total energy: -5.017 eV per atom
# Calculated density: 12.118 g/cm3
# Energy of formation from the pure elements: 0.090 eV per atom

(2)
# K3Tl3SbO8 (GGA-PBE, relaxed)
data_K3Tl3SbO8
_chemical_formula_sum 'K6 Tl6 Sb2 O16'
_cell_length_a 12.0117
_cell_length_b 6.9260
_cell_length_c 7.5044
_cell_angle_alpha 90.00
_cell_angle_beta 122.21
_cell_angle_gamma 90.00
_symmetry_space_group_name_H-M 'C 1 2/m 1'
_symmetry_Int_Tables_number 12
loop_
_symmetry_equiv_pos_as_xyz
'x,y,z'
'-x,-y,-z'
'-x,y,-z'
'x,-y,z'
'x+1/2,y+1/2,z'
'-x+1/2,-y+1/2,-z'
'-x+1/2,y+1/2,-z'
'x+1/2,-y+1/2,z'
loop_
_atom_site_label
_atom_site_type_symbol
_atom_site_fract_x
_atom_site_fract_y
_atom_site_fract_z
K1 K 0.0000 0.0000 0.0000
K2 K 0.2500 0.2500 0.0000
Tl1 Tl 0.0000 0.5000 0.5000
Tl2 Tl 0.2500 0.2500 0.5000
Sb1 Sb 0.0000 0.0000 0.5000
O1 O 0.0113 0.2146 0.3198
O2 O 0.2030 0.0000 0.6799
O3 O 0.2280 0.5000 0.6826
# Raw formation energy: -112.6 kJ/mol of atoms
# Calculated volume: 17.607 A^3/atom
# Raw total energy: -4.779 eV per atom
# Calculated density: 6.163 g/cm3

(3)
# Sm2Mg5Cd5 (GGA-PBE, relaxed)
data_Sm2Mg5Cd5
_chemical_formula_sum 'Sm2 Mg5 Cd5'
_cell_length_a 4.8008
_cell_length_b 5.9381
_cell_length_c 10.1701
_cell_angle_alpha 90.00
_cell_angle_beta 90.00
_cell_angle_gamma 90.00
_symmetry_space_group_name_H-M 'P m m m'
_symmetry_Int_Tables_number 47
loop_
_symmetry_equiv_pos_as_xyz
'x,y,z'
'-x,-y,-z'
'-x,-y,z'
'x,y,-z'
'x,-y,-z'
'-x,y,z'
'-x,y,-z'
'x,-y,z'
loop_
_atom_site_label
_atom_site_type_symbol
_atom_site_fract_x
_atom_site_fract_y
_atom_site_fract_z
Sm1 Sm 0.0000 0.0000 0.0000
Sm2 Sm 0.0000 0.5000 0.5000
Mg1 Mg 0.5000 0.0000 0.5000
Mg2 Mg 0.5000 0.2496 0.2465
Cd1 Cd 0.0000 0.0000 0.3325
Cd2 Cd 0.0000 0.5000 0.1712
Cd3 Cd 0.5000 0.5000 0.0000
# Calculated volume: 24.161 A^3/atom
# Raw total energy: -1.993 eV per atom
# Calculated density: 5.637 g/cm3
# Energy of formation from the pure elements: -0.160 eV per atom

(4)
# NaCaNF2 (GGA-PBE, relaxed)
data_NaCaNF2
_chemical_formula_sum 'Na1 Ca1 N1 F2'
_cell_length_a 4.1023
_cell_length_b 4.1023
_cell_length_c 4.3884
_cell_angle_alpha 90.00
_cell_angle_beta 90.00
_cell_angle_gamma 90.00
_symmetry_space_group_name_H-M 'P 4/m m m'
_symmetry_Int_Tables_number 123
_symmetry_space_group_name_Hall '-P 4 2'
loop_
_atom_site_label
_atom_site_type_symbol
_atom_site_fract_x
_atom_site_fract_y
_atom_site_fract_z
Na1 Na 0.0000 0.0000 0.0000
Ca1 Ca 0.5000 0.5000 0.5000
N1 N 0.0000 0.0000 0.5000
F1 F 0.0000 0.5000 0.0000
# Raw formation energy: -128.1 kJ/mol of atoms
# Distance to the lowest polymorph of the same formula: 26.7 kJ per mole of atoms
# Calculated volume: 14.770 A^3/atom
# Raw total energy: -4.406 eV per atom
# Calculated density: 2.587 g/cm3

(5)
# YMgTe (GGA-PBE, relaxed)
data_YMgTe
_chemical_formula_sum 'Y6 Mg6 Te6'
_cell_length_a 5.0815
_cell_length_b 5.0815
_cell_length_c 24.7314
_cell_angle_alpha 90.00
_cell_angle_beta 90.00
_cell_angle_gamma 120.00
_symmetry_space_group_name_H-M 'R -3 m'
_symmetry_Int_Tables_number 166
_symmetry_space_group_name_Hall '-R 3 2"'
loop_
_atom_site_label
_atom_site_type_symbol
_atom_site_fract_x
_atom_site_fract_y
_atom_site_fract_z
Y1 Y 0.0000 0.0000 0.0769
Mg1 Mg 0.0000 0.0000 0.3324
Te1 Te 0.0000 0.0000 0.2143
# Raw formation energy: -68.2 kJ/mol of atoms
# Distance to the lowest polymorph of the same formula: 0.0 kJ per mole of atoms
# Calculated volume: 30.724 A^3/atom
# Raw total energy: -4.440 eV per atom
# Calculated density: 4.338 g/cm3

(6)
# H2Cl3 (GGA-PBE, relaxed)
data_H2Cl3
_chemical_formula_sum 'H8 Cl12'
_cell_length_a 16.1623
_cell_length_b 2.8618
_cell_length_c 10.4678
_cell_angle_alpha 90.00
_cell_angle_beta 101.52
_cell_angle_gamma 90.00
_symmetry_space_group_name_H-M 'C 1 2/m 1'
_symmetry_Int_Tables_number 12
loop_
_symmetry_equiv_pos_as_xyz
'x,y,z'
'-x,-y,-z'
'-x,y,-z'
'x,-y,z'
'x+1/2,y+1/2,z'
'-x+1/2,-y+1/2,-z'
'-x+1/2,y+1/2,-z'
'x+1/2,-y+1/2,z'
loop_
_atom_site_label
_atom_site_type_symbol
_atom_site_fract_x
_atom_site_fract_y
_atom_site_fract_z
H1 H 0.0916 0.0000 0.3426
H2 H 0.1366 0.5000 0.9378
Cl1 Cl 0.0553 0.5000 0.3323
Cl2 Cl 0.1262 0.0000 0.9871
Cl3 Cl 0.2073 0.5000 0.6716
# Calculated volume: 23.721 A^3/atom
# Raw total energy: -2.508 eV per atom
# Calculated density: 1.517 g/cm3

(7)
# VCoPd3 (GGA-PBE, relaxed)
data_VCoPd3
_chemical_formula_sum 'V1 Co1 Pd3'
_cell_length_a 4.5359
_cell_length_b 4.5359
_cell_length_c 4.5359
_cell_angle_alpha 90.00
_cell_angle_beta 90.00
_cell_angle_gamma 90.00
_symmetry_space_group_name_H-M 'P m -3 m'
_symmetry_Int_Tables_number 221
_symmetry_space_group_name_Hall '-P 4 2 3'
loop_
_atom_site_label
_atom_site_type_symbol
_atom_site_fract_x
_atom_site_fract_y
_atom_site_fract_z
V1 V 0.0000 0.0000 0.0000
Co1 Co 0.5000 0.5000 0.5000
Pd1 Pd 0.0000 0.5000 0.5000
# Distance to the lowest polymorph of the same formula: 0.0 kJ per mole of atoms
# Calculated volume: 18.665 A^3/atom
# Raw total energy: -5.466 eV per atom
# Calculated density: 7.636 g/cm3
# Energy of formation from the pure elements: 0.895 eV per atom

(8)
# BeAl2Cd2 (GGA-PBE, relaxed)
data_BeAl2Cd2
_chemical_formula_sum 'Be2 Al4 Cd4'
_cell_length_a 3.6562
_cell_length_b 3.6562
_cell_length_c 15.1457
_cell_angle_alpha 90.00
_cell_angle_beta 90.00
_cell_angle_gamma 90.00
_symmetry_space_group_name_H-M 'I 4/m m m'
_symmetry_Int_Tables_number 139
_symmetry_space_group_name_Hall '-I 4 2'
loop_
_atom_site_label
_atom_site_type_symbol
_atom_site_fract_x
_atom_site_fract_y
_atom_site_fract_z
Be1 Be 0.0000 0.0000 0.0000
Al1 Al 0.0000 0.5000 0.2500
Cd1 Cd 0.0000 0.0000 0.4067
# Distance to the lowest polymorph of the same formula: 22.9 kJ per mole of atoms
# Calculated volume: 20.247 A^3/atom
# Raw total energy: -2.055 eV per atom
# Calculated density: 4.721 g/cm3
# Energy of formation from the pure elements: 0.553 eV per atom

(9)
# PuAl12Pd6 (GGA-PBE, relaxed)
data_PuAl12Pd6
_chemical_formula_sum 'Pu3 Al36 Pd18'
_cell_length_a 11.4041
_cell_length_b 11.4041
_cell_length_c 8.6664
_cell_angle_alpha 90.00
_cell_angle_beta 90.00
_cell_angle_gamma 120.00
_symmetry_space_group_name_H-M 'R -3 m'
_symmetry_Int_Tables_number 166
_symmetry_space_group_name_Hall '-R 3 2"'
loop_
_atom_site_label
_atom_site_type_symbol
_atom_site_fract_x
_atom_site_fract_y
_atom_site_fract_z
Pu1 Pu 0.0000 0.0000 0.0000
Al1 Al 0.0000 0.3847 0.5000
Al2 Al 0.0844 0.1688 0.3138
Pd1 Pd 0.0502 0.5251 0.2455
# Calculated volume: 17.124 A^3/atom
# Raw total energy: -5.349 eV per atom
# Calculated density: 6.157 g/cm3
# Energy of formation from the pure elements: -0.591 eV per atom

(10)
# YMgZnIr2 (GGA-PBE, relaxed)
data_YMgZnIr2
_chemical_formula_sum 'Y1 Mg1 Zn1 Ir2'
_cell_length_a 4.6163
_cell_length_b 4.6163
_cell_length_c 5.0166
_cell_angle_alpha 90.00
_cell_angle_beta 90.00
_cell_angle_gamma 90.00
_symmetry_space_group_name_H-M 'P 4/m m m'
_symmetry_Int_Tables_number 123
_symmetry_space_group_name_Hall '-P 4 2'
loop_
_atom_site_label
_atom_site_type_symbol
_atom_site_fract_x
_atom_site_fract_y
_atom_site_fract_z
Y1 Y 0.0000 0.0000 0.0000
Mg1 Mg 0.0000 0.0000 0.5000
Zn1 Zn 0.5000 0.5000 0.0000
Ir1 Ir 0.0000 0.5000 0.5000
# Calculated volume: 21.381 A^3/atom
# Raw total energy: -4.433 eV per atom
# Calculated density: 8.746 g/cm3
# Energy of formation from the pure elements: 0.978 eV per atom

(11)
# ZrCrNi2 (GGA-PBE, relaxed)
data_ZrCrNi2
_chemical_formula_sum 'Zr3 Cr3 Ni6'
_cell_length_a 2.7945
_cell_length_b 2.7945
_cell_length_c 25.4884
_cell_angle_alpha 90.00
_cell_angle_beta 90.00
_cell_angle_gamma 120.00
_symmetry_space_group_name_H-M 'R -3 m'
_symmetry_Int_Tables_number 166
_symmetry_space_group_name_Hall '-R 3 2"'
loop_
_atom_site_label
_atom_site_type_symbol
_atom_site_fract_x
_atom_site_fract_y
_atom_site_fract_z
Zr1 Zr 0.0000 0.0000 0.0000
Cr1 Cr 0.0000 0.0000 0.5000
Ni1 Ni 0.0000 0.0000 0.2408
# Calculated volume: 14.365 A^3/atom
# Raw total energy: -7.128 eV per atom
# Calculated density: 7.531 g/cm3
# Energy of formation from the pure elements: 0.305 eV per atom

(12)
# Sc3TiIn (GGA-PBE, relaxed)
data_Sc3TiIn
_chemical_formula_sum 'Sc3 Ti1 In1'
_cell_length_a 5.2825
_cell_length_b 5.2825
_cell_length_c 5.2825
_cell_angle_alpha 90.00
_cell_angle_beta 90.00
_cell_angle_gamma 90.00
_symmetry_space_group_name_H-M 'P m -3 m'
_symmetry_Int_Tables_number 221
_symmetry_space_group_name_Hall '-P 4 2 3'
loop_
_atom_site_label
_atom_site_type_symbol
_atom_site_fract_x
_atom_site_fract_y
_atom_site_fract_z
Sc1 Sc 0.0000 0.0000 0.5000
Ti1 Ti 0.5000 0.5000 0.5000
In1 In 0.0000 0.0000 0.0000
# Distance to the lowest polymorph of the same formula: 38.3 kJ per mole of atoms
# Calculated volume: 29.481 A^3/atom
# Raw total energy: -5.054 eV per atom
# Calculated density: 3.352 g/cm3
# Energy of formation from the pure elements: 0.872 eV per atom

- Which of these has the highest calculated volume?
  YMgTe

- calculated density of number 7 (VCoPd3)?
  7.636 g/cm3

- What is the formula in the sixth record?
  H2Cl3